Crystalline BeHgAu2 at its relaxed geometry. Source: Alexandria, functional PBE.

Structure (CIF):
```
data_BeHgAu2
_chemical_formula_sum 'Be1 Hg1 Au2'
_space_group_name_H-M_alt 'P 1'
_space_group_IT_number 1
_cell_length_a 4.599
_cell_length_b 4.599
_cell_length_c 4.599
_cell_angle_alpha 60.00
_cell_angle_beta 60.00
_cell_angle_gamma 60.00
loop_
_space_group_symop_operation_xyz
'x,y,z'
loop_
_atom_site_label
_atom_site_type_symbol
_atom_site_fract_x
_atom_site_fract_y
_atom_site_fract_z
_atom_site_occupancy
Be1 Be 0.000 0.000 0.000 1
Hg1 Hg 0.250 0.250 0.250 1
Au1 Au 0.500 0.500 0.500 1
Au2 Au 0.750 0.750 0.750 1
```

Summary:
- SG: F-43m, No. 216
- Crystal system: cubic
- Raw total energy: -0.0876 Ha/atom

Crystalline TbAlCo at its relaxed geometry. Source: Alexandria, functional PBE.

Structure (CIF):
```
data_TbAlCo
_chemical_formula_sum 'Tb1 Al1 Co1'
_space_group_name_H-M_alt 'P 1'
_space_group_IT_number 1
_cell_length_a 5.891
_cell_length_b 5.891
_cell_length_c 5.891
_cell_angle_alpha 149.21
_cell_angle_beta 149.21
_cell_angle_gamma 44.11
loop_
_space_group_symop_operation_xyz
'x,y,z'
loop_
_atom_site_label
_atom_site_type_symbol
_atom_site_fract_x
_atom_site_fract_y
_atom_site_fract_z
_atom_site_occupancy
Tb1 Tb 0.000 0.000 0.000 1
Al1 Al 0.281 0.281 0.000 1
Co1 Co 0.673 0.673 0.000 1
```

Summary:
- SG: I4mm, No. 107
- Crystal system: tetragonal
- Raw total energy: -0.1997 Ha/atom